The following is a GGA+U calculation of crystalline Co2O at its relaxed geometry, from OQMD.

## Properties
SG = No. 136
total moment = 8.3 μB per cell
excess energy over the best structure of this formula in the dataset = 0 meV per atom

Cell lengths 4.961, 4.961, 2.715 Å; angles 90.00, 90.00, 90.00 degrees
Sites, in units of the cell vectors:
Co 0.275 0.275 0.000
Co 0.775 0.225 0.500
Co 0.725 0.725 0.000
Co 0.225 0.775 0.500
O 0.000 0.000 0.000
O 0.500 0.500 0.500